Record 1
Density functional theory data (GGA-PBE) for a relaxed structure of Sc4Ir3.

```
Sc4Ir3
1.0
2.267 1.309 7.413
-2.267 1.309 7.413
0.000 -2.618 7.413
Sc Ir
4 3
direct
0.122 0.122 0.122
0.373 0.373 0.373
0.627 0.627 0.627
0.878 0.878 0.878
0.249 0.249 0.249
0.500 0.500 0.500
0.751 0.751 0.751
```

Results
Space group = R-3m (166)

---

Record 2
Density functional theory data (GGA-PBE) for a relaxed structure of ScIr4.

```
ScIr4
1.0
4.580 0.000 0.000
0.000 4.580 0.000
0.000 0.000 4.580
Sc Ir
1 4
direct
0.000 0.000 0.000
0.000 0.000 0.500
0.000 0.500 0.000
0.500 0.000 0.000
0.500 0.500 0.500
```

Results
Space group = Pm-3m (221)

---

Record 3
Density functional theory data (GGA-PBE) for a relaxed structure of ScIr4.

```
ScIr4
1.0
-1.873 1.873 6.127
1.873 -1.873 6.127
1.873 1.873 -6.127
Sc Ir
1 4
direct
0.000 0.000 0.000
0.250 0.750 0.500
0.402 0.402 0.000
0.598 0.598 0.000
0.750 0.250 0.500
```

Results
Space group = I4/mmm (139)

---

Record 4
Density functional theory data (GGA-PBE) for a relaxed structure of Sc3Ir.

```
Sc3Ir
1.0
4.725 0.000 0.000
0.000 6.623 0.000
0.000 0.000 4.967
Sc Ir
6 2
direct
0.250 0.001 0.198
0.250 0.250 0.653
0.250 0.499 0.198
0.750 0.501 0.802
0.750 0.750 0.347
0.750 0.999 0.802
0.250 0.750 0.728
0.750 0.250 0.272
```

Results
Space group = Pmmn (59)

---

Record 5
Density functional theory data (GGA-PBE) for a relaxed structure of Sc3Ir.

```
Sc3Ir
1.0
6.309 0.000 0.000
-3.155 5.464 0.000
0.000 0.000 4.600
Sc Ir
6 2
direct
0.178 0.356 0.250
0.178 0.822 0.250
0.356 0.178 0.750
0.644 0.822 0.250
0.822 0.178 0.750
0.822 0.644 0.750
0.333 0.667 0.750
0.667 0.333 0.250
```

Results
Space group = P6_3/mmc (194)

---

Record 6
Density functional theory data (GGA-PBE) for a relaxed structure of Sc3Ir.

```
Sc3Ir
1.0
3.172 0.000 0.000
0.000 4.417 0.000
-1.545 0.000 5.703
Sc Ir
3 1
direct
0.000 0.000 0.000
0.403 0.500 0.725
0.597 0.500 0.275
0.000 0.000 0.500
```

Results
Space group = P2/m (10)

---

Record 7
Density functional theory data (GGA-PBE) for a relaxed structure of Sc3Ir.

```
Sc3Ir
1.0
10.795 0.000 0.000
0.000 10.795 0.000
0.000 0.000 5.835
Sc Ir
24 8
direct
0.036 0.593 0.211
0.093 0.964 0.711
0.113 0.196 0.028
0.118 0.663 0.699
0.163 0.882 0.199
0.196 0.387 0.472
0.304 0.113 0.472
0.337 0.618 0.199
0.382 0.837 0.699
0.387 0.304 0.028
0.407 0.536 0.711
0.464 0.907 0.211
0.536 0.093 0.789
0.593 0.464 0.289
0.613 0.696 0.972
0.618 0.163 0.301
0.663 0.382 0.801
0.696 0.887 0.528
0.804 0.613 0.528
0.837 0.118 0.801
0.882 0.337 0.301
0.887 0.804 0.972
0.907 0.036 0.289
0.964 0.407 0.789
0.051 0.188 0.519
0.188 0.449 0.981
0.312 0.051 0.981
0.449 0.312 0.519
0.551 0.688 0.481
0.688 0.949 0.019
0.812 0.551 0.019
0.949 0.812 0.481
```

Results
Space group = P4_2/n (86)

---

Record 8
Density functional theory data (GGA-PBE) for a relaxed structure of Sc3Ir.

```
Sc3Ir
1.0
0.000 3.377 3.377
3.377 0.000 3.377
3.377 3.377 0.000
Sc Ir
3 1
direct
0.000 0.000 0.000
0.250 0.250 0.250
0.750 0.750 0.750
0.500 0.500 0.500
```

Results
Space group = Fm-3m (225)

---

Record 9
Density functional theory data (GGA-PBE) for a relaxed structure of Sc6Ir5.

```
Sc6Ir5
1.0
-2.297 3.148 6.886
2.297 -3.148 6.886
2.297 3.148 -6.886
Sc Ir
6 5
direct
0.081 0.336 0.745
0.243 0.000 0.243
0.410 0.664 0.745
0.590 0.336 0.255
0.757 0.000 0.757
0.919 0.664 0.255
0.170 0.170 0.000
0.335 0.835 0.500
0.500 0.500 0.000
0.665 0.165 0.500
0.830 0.830 0.000
```

Results
Space group = Immm (71)

---

Record 10
Density functional theory data (GGA-PBE) for a relaxed structure of Sc3Ir.

```
Sc3Ir
1.0
4.532 0.000 0.000
0.000 4.532 0.000
0.000 0.000 3.800
Sc Ir
3 1
direct
0.000 0.000 0.000
0.000 0.500 0.500
0.500 0.000 0.500
0.500 0.500 0.000
```

Results
Space group = P4/mmm (123)

---

Record 11
Density functional theory data (GGA-PBE) for a relaxed structure of Sc3Ir5.

```
Sc3Ir5
1.0
3.687 -4.165 0.000
3.687 4.165 0.000
0.000 0.000 4.196
Sc Ir
3 5
direct
0.000 0.000 0.000
0.277 0.723 0.500
0.723 0.277 0.500
0.000 0.500 0.000
0.234 0.234 0.500
0.500 0.000 0.000
0.500 0.500 0.000
0.766 0.766 0.500
```

Results
Space group = Cmmm (65)

---

Record 12
Density functional theory data (GGA-PBE) for a relaxed structure of Sc7Ir.

```
Sc7Ir
1.0
0.000 4.420 4.420
4.420 0.000 4.420
4.420 4.420 0.000
Sc Ir
7 1
direct
0.000 0.000 0.000
0.000 0.000 0.500
0.000 0.500 0.000
0.000 0.500 0.500
0.500 0.000 0.000
0.500 0.000 0.500
0.500 0.500 0.000
0.500 0.500 0.500
```

Results
Space group = Fm-3m (225)

---

Record 13
Density functional theory data (GGA-PBE) for a relaxed structure of Sc5Ir.

```
Sc5Ir
1.0
3.253 0.000 0.000
0.000 3.253 0.000
0.000 0.000 12.565
Sc Ir
5 1
direct
0.000 0.000 0.000
0.000 0.000 0.374
0.000 0.000 0.626
0.500 0.500 0.181
0.500 0.500 0.819
0.500 0.500 0.500
```

Results
Space group = P4/mmm (123)

---

Record 14
Density functional theory data (GGA-PBE) for a relaxed structure of Sc4Ir3.

```
Sc4Ir3
1.0
-1.789 1.789 10.414
1.789 -1.789 10.414
1.789 1.789 -10.414
Sc Ir
4 3
direct
0.068 0.068 0.000
0.335 0.335 0.000
0.665 0.665 0.000
0.932 0.932 0.000
0.199 0.199 0.000
0.500 0.500 0.000
0.801 0.801 0.000
```

Results
Space group = I4/mmm (139)

---

Record 15
Density functional theory data (GGA-PBE) for a relaxed structure of Sc5Ir.

```
Sc5Ir
1.0
5.558 -1.691 0.000
5.558 1.691 0.000
-2.806 0.000 7.047
Sc Ir
5 1
direct
0.000 0.000 0.000
0.337 0.337 0.209
0.362 0.362 0.635
0.638 0.638 0.365
0.663 0.663 0.791
0.000 0.000 0.500
```

Results
Space group = C2/m (12)

---

Record 16
Density functional theory data (GGA-PBE) for a relaxed structure of Sc3Ir.

```
Sc3Ir
1.0
3.238 0.000 0.000
0.000 3.238 0.000
0.000 0.000 8.027
Sc Ir
3 1
direct
0.000 0.000 0.000
0.500 0.500 0.301
0.500 0.500 0.699
0.000 0.000 0.500
```

Results
Space group = P4/mmm (123)

---

Record 17
Density functional theory data (GGA-PBE) for a relaxed structure of Sc3Ir.

```
Sc3Ir
1.0
4.691 2.708 1.018
-4.691 2.708 1.018
0.000 -5.416 1.018
Sc Ir
3 1
direct
0.000 0.500 0.500
0.500 0.000 0.500
0.500 0.500 0.000
0.000 0.000 0.000
```

Results
Space group = R-3m (166)

---

Record 18
Density functional theory data (GGA-PBE) for a relaxed structure of Sc3Ir5.

```
Sc3Ir5
1.0
5.732 -4.734 0.000
5.732 4.734 0.000
-2.526 0.000 4.894
Sc Ir
6 10
direct
0.021 0.979 0.500
0.100 0.615 0.036
0.385 0.902 0.965
0.615 0.100 0.536
0.902 0.385 0.465
0.979 0.021 0.000
0.169 0.630 0.590
0.237 0.272 0.058
0.272 0.237 0.558
0.370 0.832 0.410
0.486 0.514 0.000
0.514 0.486 0.500
0.630 0.169 0.090
0.727 0.763 0.941
0.763 0.727 0.441
0.832 0.370 0.910
```

Results
Space group = Cc (9)

---

Record 19
Density functional theory data (GGA-PBE) for a relaxed structure of Sc3Ir5.

```
Sc3Ir5
1.0
7.761 0.000 0.000
-3.880 6.721 0.000
0.000 0.000 5.173
Sc Ir
6 10
direct
0.000 0.391 0.250
0.000 0.609 0.750
0.391 0.000 0.250
0.391 0.391 0.750
0.609 0.000 0.750
0.609 0.609 0.250
0.000 0.209 0.750
0.000 0.791 0.250
0.209 0.000 0.750
0.209 0.209 0.250
0.333 0.667 0.000
0.333 0.667 0.500
0.667 0.333 0.000
0.667 0.333 0.500
0.791 0.000 0.250
0.791 0.791 0.750
```

Results
Space group = P6_3/mcm (193)

---

Record 20
Density functional theory data (GGA-PBE) for a relaxed structure of Sc3Ir.

```
Sc3Ir
1.0
6.159 0.000 0.000
-3.080 5.334 0.000
0.000 0.000 9.575
Sc Ir
12 4
direct
0.000 0.500 0.000
0.000 0.500 0.500
0.158 0.315 0.250
0.158 0.842 0.250
0.315 0.158 0.750
0.500 0.000 0.000
0.500 0.000 0.500
0.500 0.500 0.000
0.500 0.500 0.500
0.685 0.842 0.250
0.842 0.158 0.750
0.842 0.685 0.750
0.000 0.000 0.000
0.000 0.000 0.500
0.333 0.667 0.750
0.667 0.333 0.250
```

Results
Space group = P6_3/mmc (194)

---

Record 21
Density functional theory data (GGA-PBE) for a relaxed structure of ScIr4.

```
ScIr4
1.0
-3.117 3.117 1.968
3.117 -3.117 1.968
3.117 3.117 -1.968
Sc Ir
1 4
direct
0.000 0.000 0.000
0.190 0.400 0.590
0.400 0.810 0.209
0.600 0.190 0.791
0.810 0.600 0.410
```

Results
Space group = I4/m (87)

---

Record 22
Density functional theory data (GGA-PBE) for a relaxed structure of Sc3Ir.

```
Sc3Ir
1.0
3.344 0.000 0.000
-1.672 2.896 0.000
0.000 0.000 9.060
Sc Ir
3 1
direct
0.000 0.000 0.000
0.333 0.667 0.295
0.333 0.667 0.705
0.000 0.000 0.500
```

Results
Space group = P-6m2 (187)

---

Record 23
Density functional theory data (GGA-PBE) for a relaxed structure of Sc3Ir.

```
Sc3Ir
1.0
-2.025 2.025 9.552
2.025 -2.025 9.552
2.025 2.025 -9.552
Sc Ir
6 2
direct
0.000 0.500 0.500
0.124 0.124 0.000
0.250 0.750 0.500
0.500 0.000 0.500
0.750 0.250 0.500
0.876 0.876 0.000
0.378 0.378 0.000
0.622 0.622 0.000
```

Results
Space group = I4/mmm (139)

---

Number 1: E_form -0.9155 eV per atom. Number 2: E_form 1.8749 eV per atom. Number 3: E_form -0.1598 eV per atom. Number 4: E_form -0.4514 eV per atom. Number 5: E_form -0.4604 eV per atom. Number 6: E_form -0.3850 eV per atom. Number 7: E_form -0.5780 eV per atom. Number 8: E_form -0.4224 eV per atom. Number 9: E_form -0.9540 eV per atom. Number 10: E_form -0.4053 eV per atom. Number 11: E_form -0.7306 eV per atom. Number 12: E_form -0.0855 eV per atom. Number 13: E_form -0.3091 eV per atom. Number 14: E_form -0.6049 eV per atom. Number 15: E_form -0.3619 eV per atom. Number 16: E_form -0.4779 eV per atom. Number 17: E_form -0.2528 eV per atom. Number 18: E_form -0.4875 eV per atom. Number 19: E_form -0.3674 eV per atom. Number 20: E_form -0.4112 eV per atom. Number 21: E_form -0.4138 eV per atom. Number 22: E_form -0.2871 eV per atom. Number 23: E_form -0.3609 eV per atom.